First-principles (PBE-GGA) data for a relaxed structure of Sm3Re2Mo3N12, as listed in the Open Quantum Materials Database.

## Properties
Space group: Ia-3d
M_tot (μB/cell): 0.14
Total energy (Ry per atom): -0.673

Unit cell a=11.0847 b=11.0847 c=11.0847 alpha=109.47 beta=109.47 gamma=109.47
Fractional coordinates of all 80 atoms:
N 0.1141 0.5980 0.9183
N 0.6797 0.0980 0.9839
Mo 0.8750 0.2500 0.1250
N 0.3859 0.3042 0.4839
N 0.9839 0.6797 0.0980
N 0.0161 0.1958 0.1141
Sm 0.3750 0.7500 0.1250
N 0.4839 0.5980 0.1797
Re 0.0000 0.5000 0.5000
N 0.9183 0.3042 0.3203
Sm 0.1250 0.2500 0.3750
Mo 0.3750 0.2500 0.6250
N 0.1958 0.1141 0.0161
N 0.4020 0.8203 0.5161
N 0.4839 0.3859 0.3042
Sm 0.8750 0.6250 0.2500
Mo 0.6250 0.3750 0.2500
Mo 0.2500 0.6250 0.3750
N 0.8203 0.8042 0.4183
N 0.0161 0.3203 0.9020
N 0.4020 0.0817 0.8859
N 0.3042 0.3203 0.9183
Sm 0.1250 0.3750 0.7500
N 0.9020 0.0161 0.3203
N 0.8042 0.4183 0.8203
N 0.0980 0.9839 0.6797
Sm 0.6250 0.2500 0.8750
N 0.0980 0.6141 0.4183
N 0.8859 0.9839 0.8042
Mo 0.7500 0.8750 0.1250
N 0.8203 0.5161 0.4020
Sm 0.3750 0.1250 0.2500
N 0.6958 0.5161 0.6141
N 0.3203 0.9183 0.3042
N 0.9020 0.3859 0.5817
N 0.1958 0.5817 0.1797
Sm 0.2500 0.3750 0.1250
N 0.5161 0.6141 0.6958
N 0.5817 0.1797 0.1958
Sm 0.2500 0.8750 0.6250
Re 0.5000 0.0000 0.5000
N 0.6958 0.6797 0.0817
Mo 0.2500 0.1250 0.8750
N 0.3042 0.4839 0.3859
N 0.1141 0.0161 0.1958
N 0.9183 0.1141 0.5980
Re 0.5000 0.0000 0.0000
N 0.1797 0.1958 0.5817
Mo 0.1250 0.8750 0.2500
Re 0.0000 0.5000 0.0000
Re 0.0000 0.0000 0.0000
N 0.5817 0.9020 0.3859
Mo 0.3750 0.6250 0.7500
N 0.6141 0.4183 0.0980
N 0.3203 0.9020 0.0161
Mo 0.8750 0.1250 0.7500
N 0.0817 0.8859 0.4020
N 0.4183 0.0980 0.6141
Sm 0.7500 0.1250 0.3750
Re 0.5000 0.5000 0.5000
Mo 0.1250 0.7500 0.8750
N 0.9839 0.8042 0.8859
Mo 0.6250 0.7500 0.3750
Sm 0.6250 0.8750 0.7500
Mo 0.7500 0.3750 0.6250
Sm 0.7500 0.6250 0.8750
N 0.3859 0.5817 0.9020
Re 0.0000 0.0000 0.5000
N 0.8859 0.4020 0.0817
N 0.1797 0.4839 0.5980
N 0.6797 0.0817 0.6958
N 0.4183 0.8203 0.8042
Sm 0.8750 0.7500 0.6250
N 0.5980 0.1797 0.4839
N 0.5161 0.4020 0.8203
N 0.6141 0.6958 0.5161
N 0.8042 0.8859 0.9839
N 0.5980 0.9183 0.1141
Re 0.5000 0.5000 0.0000
N 0.0817 0.6958 0.6797

***

First-principles (PBE-GGA) data for a relaxed structure of Sm3Re3Mo2N12, as listed in the Open Quantum Materials Database.

## Properties
Space group: Ia-3d
M_tot (μB/cell): 0.01
Total energy (Ry per atom): -0.678

Unit cell a=11.1074 b=11.1074 c=11.1074 alpha=109.47 beta=109.47 gamma=109.47
Fractional coordinates of all 80 atoms:
N 0.8851 0.4007 0.0844
N 0.5844 0.9007 0.3851
N 0.5993 0.1838 0.4845
N 0.3162 0.9007 0.0155
Mo 0.0000 0.0000 0.0000
N 0.5844 0.1838 0.1993
Sm 0.3750 0.7500 0.1250
Re 0.1250 0.7500 0.8750
Re 0.6250 0.3750 0.2500
Mo 0.5000 0.5000 0.0000
N 0.1149 0.5993 0.9156
N 0.9156 0.1149 0.5993
N 0.8162 0.5155 0.4007
Mo 0.0000 0.0000 0.5000
N 0.6149 0.4156 0.0993
N 0.1149 0.0155 0.1993
N 0.6149 0.6993 0.5155
Re 0.2500 0.1250 0.8750
N 0.0844 0.8851 0.4007
N 0.5993 0.9156 0.1149
N 0.6993 0.5155 0.6149
Sm 0.8750 0.7500 0.6250
Re 0.8750 0.1250 0.7500
N 0.3007 0.3162 0.9156
N 0.8007 0.8851 0.9845
N 0.1993 0.1149 0.0155
N 0.8851 0.9845 0.8007
N 0.8162 0.8007 0.4156
Re 0.3750 0.2500 0.6250
N 0.0993 0.6149 0.4156
N 0.0155 0.1993 0.1149
N 0.6993 0.6838 0.0844
Mo 0.5000 0.0000 0.0000
Sm 0.2500 0.3750 0.1250
N 0.9156 0.3007 0.3162
N 0.3851 0.3007 0.4845
N 0.4007 0.0844 0.8851
N 0.1993 0.5844 0.1838
N 0.9845 0.6838 0.0993
Re 0.7500 0.3750 0.6250
N 0.1838 0.4845 0.5993
N 0.0155 0.3162 0.9007
N 0.4156 0.0993 0.6149
N 0.0993 0.9845 0.6838
Re 0.8750 0.2500 0.1250
N 0.4007 0.8162 0.5155
Sm 0.3750 0.1250 0.2500
Sm 0.2500 0.8750 0.6250
N 0.6838 0.0844 0.6993
Sm 0.6250 0.8750 0.7500
N 0.4156 0.8162 0.8007
Sm 0.6250 0.2500 0.8750
Re 0.3750 0.6250 0.7500
N 0.1838 0.1993 0.5844
Mo 0.0000 0.5000 0.0000
N 0.0844 0.6993 0.6838
Re 0.6250 0.7500 0.3750
Sm 0.7500 0.1250 0.3750
N 0.3007 0.4845 0.3851
Mo 0.5000 0.5000 0.5000
Sm 0.1250 0.2500 0.3750
N 0.6838 0.0993 0.9845
Mo 0.0000 0.5000 0.5000
N 0.4845 0.3851 0.3007
Sm 0.1250 0.3750 0.7500
Re 0.1250 0.8750 0.2500
Sm 0.8750 0.6250 0.2500
Re 0.2500 0.6250 0.3750
N 0.8007 0.4156 0.8162
N 0.9845 0.8007 0.8851
Mo 0.5000 0.0000 0.5000
Re 0.7500 0.8750 0.1250
N 0.9007 0.3851 0.5844
Sm 0.7500 0.6250 0.8750
N 0.9007 0.0155 0.3162
N 0.5155 0.6149 0.6993
N 0.3162 0.9156 0.3007
N 0.5155 0.4007 0.8162
N 0.3851 0.5844 0.9007
N 0.4845 0.5993 0.1838

***

First-principles (PBE-GGA) data for a relaxed structure of Tb3Re3Mo2N12, as listed in the Open Quantum Materials Database.

## Properties
Space group: Ia-3d
M_tot (μB/cell): 0.03
Total energy (Ry per atom): -0.677

Unit cell a=11.0152 b=11.0152 c=11.0152 alpha=109.47 beta=109.47 gamma=109.47
Fractional coordinates of all 80 atoms:
Tb 0.3750 0.7500 0.1250
N 0.0853 0.7022 0.6831
Mo 0.0000 0.5000 0.0000
N 0.4809 0.5979 0.1831
Tb 0.3750 0.1250 0.2500
Mo 0.0000 0.0000 0.0000
N 0.4021 0.8169 0.5191
N 0.1831 0.4809 0.5979
Re 0.8750 0.1250 0.7500
N 0.2978 0.4809 0.3830
Re 0.6250 0.7500 0.3750
N 0.2022 0.1170 0.0191
Re 0.7500 0.8750 0.1250
Re 0.2500 0.1250 0.8750
N 0.6831 0.0979 0.9809
N 0.9147 0.1170 0.5979
Tb 0.2500 0.3750 0.1250
N 0.4147 0.8169 0.7978
N 0.7978 0.8830 0.9809
N 0.8830 0.4021 0.0853
Mo 0.5000 0.0000 0.5000
Mo 0.0000 0.0000 0.5000
N 0.4809 0.3830 0.2978
N 0.0979 0.9809 0.6831
Tb 0.6250 0.8750 0.7500
N 0.5853 0.9021 0.3830
N 0.3830 0.2978 0.4809
N 0.5191 0.6170 0.7022
N 0.1170 0.0191 0.2022
N 0.9021 0.3830 0.5853
Tb 0.2500 0.8750 0.6250
N 0.7022 0.6831 0.0853
Re 0.1250 0.7500 0.8750
Re 0.8750 0.2500 0.1250
Re 0.1250 0.8750 0.2500
N 0.3169 0.9147 0.2978
N 0.8169 0.7978 0.4147
N 0.4021 0.0853 0.8830
N 0.9021 0.0191 0.3169
N 0.0979 0.6170 0.4147
N 0.1831 0.2022 0.5853
Mo 0.5000 0.5000 0.0000
Mo 0.0000 0.5000 0.5000
N 0.5191 0.4021 0.8169
N 0.1170 0.5979 0.9147
Tb 0.6250 0.2500 0.8750
N 0.5853 0.1831 0.2022
N 0.5979 0.9147 0.1170
N 0.4147 0.0979 0.6170
N 0.0191 0.2022 0.1170
Re 0.3750 0.2500 0.6250
N 0.2978 0.3169 0.9147
N 0.3830 0.5853 0.9021
N 0.0191 0.3169 0.9021
N 0.8830 0.9809 0.7978
N 0.9809 0.7978 0.8830
N 0.2022 0.5853 0.1831
N 0.6170 0.7022 0.5191
Mo 0.5000 0.5000 0.5000
Tb 0.7500 0.1250 0.3750
N 0.8169 0.5191 0.4021
N 0.6831 0.0853 0.7022
N 0.9809 0.6831 0.0979
Re 0.2500 0.6250 0.3750
N 0.3169 0.9021 0.0191
N 0.9147 0.2978 0.3169
Re 0.6250 0.3750 0.2500
N 0.0853 0.8830 0.4021
Tb 0.7500 0.6250 0.8750
Tb 0.1250 0.2500 0.3750
N 0.6170 0.4147 0.0979
Tb 0.8750 0.6250 0.2500
N 0.7022 0.5191 0.6170
N 0.7978 0.4147 0.8169
Tb 0.8750 0.7500 0.6250
Mo 0.5000 0.0000 0.0000
Tb 0.1250 0.3750 0.7500
N 0.5979 0.1831 0.4809
Re 0.7500 0.3750 0.6250
Re 0.3750 0.6250 0.7500

***

First-principles (PBE-GGA) data for a relaxed structure of Y3Re3Mo2N12, as listed in the Open Quantum Materials Database.

## Properties
Space group: Ia-3d
M_tot (μB/cell): 0.02
Total energy (Ry per atom): -0.697

Unit cell a=11.0027 b=11.0027 c=11.0027 alpha=109.47 beta=109.47 gamma=109.47
Fractional coordinates of all 80 atoms:
N 0.5197 0.4024 0.8168
N 0.8827 0.4024 0.0856
N 0.9144 0.2971 0.3168
Mo 0.5000 0.0000 0.0000
N 0.6173 0.7029 0.5197
N 0.0197 0.3168 0.9024
N 0.9024 0.0197 0.3168
N 0.0856 0.7029 0.6832
N 0.7029 0.6832 0.0856
Y 0.8750 0.6250 0.2500
Y 0.2500 0.8750 0.6250
Re 0.7500 0.8750 0.1250
N 0.0976 0.9803 0.6832
N 0.9024 0.3827 0.5856
Mo 0.5000 0.5000 0.0000
N 0.0856 0.8827 0.4024
Y 0.7500 0.1250 0.3750
N 0.4144 0.0976 0.6173
N 0.4024 0.0856 0.8827
N 0.4803 0.3827 0.2971
N 0.7029 0.5197 0.6173
N 0.4144 0.8168 0.7971
N 0.5976 0.9144 0.1173
N 0.3168 0.9024 0.0197
Y 0.8750 0.7500 0.6250
Re 0.3750 0.6250 0.7500
N 0.1173 0.0197 0.2029
N 0.5976 0.1832 0.4803
N 0.2971 0.3168 0.9144
N 0.5856 0.1832 0.2029
N 0.0197 0.2029 0.1173
Re 0.7500 0.3750 0.6250
N 0.4803 0.5976 0.1832
N 0.9803 0.7971 0.8827
N 0.1832 0.4803 0.5976
Y 0.2500 0.3750 0.1250
Re 0.2500 0.1250 0.8750
Mo 0.0000 0.0000 0.0000
Re 0.3750 0.2500 0.6250
Re 0.8750 0.1250 0.7500
N 0.2029 0.1173 0.0197
N 0.6173 0.4144 0.0976
Y 0.3750 0.1250 0.2500
Re 0.8750 0.2500 0.1250
N 0.5197 0.6173 0.7029
N 0.2029 0.5856 0.1832
N 0.7971 0.8827 0.9803
Y 0.6250 0.2500 0.8750
N 0.1173 0.5976 0.9144
Mo 0.5000 0.0000 0.5000
Mo 0.0000 0.5000 0.5000
N 0.6832 0.0976 0.9803
Re 0.1250 0.8750 0.2500
Y 0.1250 0.2500 0.3750
N 0.7971 0.4144 0.8168
Re 0.2500 0.6250 0.3750
N 0.0976 0.6173 0.4144
Y 0.3750 0.7500 0.1250
Y 0.6250 0.8750 0.7500
N 0.8827 0.9803 0.7971
Y 0.7500 0.6250 0.8750
N 0.3168 0.9144 0.2971
Y 0.1250 0.3750 0.7500
N 0.8168 0.5197 0.4024
N 0.8168 0.7971 0.4144
N 0.9803 0.6832 0.0976
Re 0.6250 0.3750 0.2500
Mo 0.0000 0.5000 0.0000
N 0.9144 0.1173 0.5976
N 0.5856 0.9024 0.3827
N 0.1832 0.2029 0.5856
N 0.4024 0.8168 0.5197
Re 0.6250 0.7500 0.3750
N 0.3827 0.2971 0.4803
N 0.6832 0.0856 0.7029
N 0.3827 0.5856 0.9024
Mo 0.0000 0.0000 0.5000
Re 0.1250 0.7500 0.8750
Mo 0.5000 0.5000 0.5000
N 0.2971 0.4803 0.3827

***

First-principles (PBE-GGA) data for a relaxed structure of Y3Re2Mo3N12, as listed in the Open Quantum Materials Database.

## Properties
Space group: Ia-3d
M_tot (μB/cell): 0.05
Total energy (Ry per atom): -0.693

Unit cell a=10.9832 b=10.9832 c=10.9832 alpha=109.47 beta=109.47 gamma=109.47
Fractional coordinates of all 80 atoms:
N 0.3004 0.4798 0.3839
N 0.6161 0.4165 0.0959
Mo 0.6250 0.3750 0.2500
Re 0.5000 0.0000 0.5000
N 0.4041 0.0835 0.8839
Y 0.8750 0.6250 0.2500
N 0.4041 0.8206 0.5202
N 0.9165 0.3004 0.3206
N 0.4165 0.0959 0.6161
Mo 0.8750 0.2500 0.1250
N 0.1161 0.5959 0.9165
N 0.1996 0.1161 0.0202
N 0.0835 0.8839 0.4041
N 0.5959 0.9165 0.1161
N 0.9041 0.0202 0.3206
N 0.9798 0.6794 0.0959
N 0.8004 0.8839 0.9798
Y 0.1250 0.3750 0.7500
Mo 0.7500 0.8750 0.1250
N 0.5202 0.6161 0.6996
Re 0.5000 0.0000 0.0000
Y 0.1250 0.2500 0.3750
N 0.3206 0.9165 0.3004
N 0.8839 0.4041 0.0835
N 0.5959 0.1794 0.4798
N 0.6161 0.6996 0.5202
Y 0.3750 0.7500 0.1250
Mo 0.1250 0.7500 0.8750
Mo 0.7500 0.3750 0.6250
Y 0.6250 0.8750 0.7500
N 0.1161 0.0202 0.1996
Y 0.7500 0.6250 0.8750
N 0.8839 0.9798 0.8004
N 0.1794 0.1996 0.5835
N 0.0835 0.6996 0.6794
Y 0.2500 0.8750 0.6250
Re 0.0000 0.0000 0.0000
N 0.9165 0.1161 0.5959
Mo 0.2500 0.6250 0.3750
Mo 0.8750 0.1250 0.7500
Re 0.0000 0.0000 0.5000
Re 0.5000 0.5000 0.5000
Mo 0.1250 0.8750 0.2500
N 0.0202 0.1996 0.1161
N 0.1996 0.5835 0.1794
N 0.6794 0.0835 0.6996
N 0.5835 0.9041 0.3839
N 0.3839 0.5835 0.9041
N 0.8206 0.5202 0.4041
Re 0.5000 0.5000 0.0000
N 0.9798 0.8004 0.8839
Mo 0.3750 0.2500 0.6250
Y 0.6250 0.2500 0.8750
Re 0.0000 0.5000 0.0000
N 0.3839 0.3004 0.4798
N 0.4798 0.3839 0.3004
Mo 0.6250 0.7500 0.3750
Y 0.2500 0.3750 0.1250
N 0.3004 0.3206 0.9165
Mo 0.3750 0.6250 0.7500
N 0.3206 0.9041 0.0202
N 0.4165 0.8206 0.8004
N 0.4798 0.5959 0.1794
N 0.0959 0.9798 0.6794
N 0.5835 0.1794 0.1996
N 0.0202 0.3206 0.9041
N 0.1794 0.4798 0.5959
Y 0.8750 0.7500 0.6250
N 0.8206 0.8004 0.4165
Re 0.0000 0.5000 0.5000
N 0.9041 0.3839 0.5835
N 0.0959 0.6161 0.4165
Mo 0.2500 0.1250 0.8750
N 0.8004 0.4165 0.8206
N 0.6996 0.5202 0.6161
N 0.6996 0.6794 0.0835
N 0.5202 0.4041 0.8206
N 0.6794 0.0959 0.9798
Y 0.3750 0.1250 0.2500
Y 0.7500 0.1250 0.3750

***

First-principles (PBE-GGA) data for a relaxed structure of Mo2SN, as listed in the Open Quantum Materials Database.

## Properties
Space group: C2/c
M_tot (μB/cell): 0.00
Total energy (Ry per atom): -0.639
Energy relative to the lowest polymorph listed for this composition (meV per atom): 0

Unit cell a=5.7379 b=5.7379 c=11.3668 alpha=102.89 beta=102.89 gamma=59.20
Fractional coordinates of all 24 atoms:
N 0.5000 0.0000 0.0000
N 0.0000 0.5000 0.5000
Mo 0.0378 0.1848 0.5840
S 0.9252 0.0748 0.2500
Mo 0.8264 0.6795 0.0866
Mo 0.3205 0.1736 0.4134
S 0.6007 0.7487 0.2606
Mo 0.9622 0.8152 0.4160
N 0.1638 0.6721 0.0346
N 0.3279 0.8362 0.4654
Mo 0.6795 0.8264 0.5866
S 0.0748 0.9252 0.7500
Mo 0.3585 0.5615 0.5971
Mo 0.1848 0.0378 0.0840
S 0.2513 0.3993 0.2394
Mo 0.6415 0.4385 0.4029
S 0.7487 0.6007 0.7606
Mo 0.5615 0.3585 0.0971
N 0.6721 0.1638 0.5346
N 0.8362 0.3279 0.9654
Mo 0.1736 0.3205 0.9134
Mo 0.8152 0.9622 0.9160
Mo 0.4385 0.6415 0.9029
S 0.3993 0.2513 0.7394